# 1
The following is a DFT calculation (PBE-GGA) of an optimized crystal structure of Dy2Hg.

- symmetry = No. 227

a b c (Å): 9.1133 9.1133 9.1133
angles (deg): 60.00 60.00 60.00
Site moments in Bohr magnetons follow the coordinates.
Sites, in units of the cell vectors:
Hg 0.5000 0.5000 0.5000  0.01
Dy 0.3750 0.3750 0.8750  0.03
Dy 0.3750 0.8750 0.3750  0.03
Dy 0.3750 0.3750 0.3750  0.03
Dy 0.8750 0.3750 0.3750  0.05
Hg 0.2500 0.2500 0.2500  0.01



# 2
The following is a DFT calculation (PBE-GGA) of an optimized crystal structure of DyHg2.

- symmetry = No. 225

a b c (Å): 4.9202 4.9202 4.9202
angles (deg): 60.00 60.00 60.00
Sites, in units of the cell vectors:
Hg 0.2500 0.2500 0.2500
Dy 0.0000 0.0000 0.0000
Hg 0.7500 0.7500 0.7500



# 3
The following is a DFT calculation (PBE-GGA) of an optimized crystal structure of Dy3Hg5.

- symmetry = No. 65

a b c (Å): 6.3718 6.3718 5.0555
angles (deg): 90.00 90.00 105.19
Sites, in units of the cell vectors:
Hg 0.5000 0.0000 0.0000
Hg 0.7827 0.7827 0.5000
Hg 0.5000 0.5000 0.0000
Hg 0.2173 0.2173 0.5000
Hg 0.0000 0.5000 0.0000
Dy 0.0000 0.0000 0.0000
Dy 0.7148 0.2852 0.5000
Dy 0.2852 0.7148 0.5000



# 4
The following is a DFT calculation (PBE-GGA) of an optimized crystal structure of Dy2Hg.

- symmetry = No. 227

a b c (Å): 6.2084 6.2084 6.2084
angles (deg): 60.00 60.00 60.00
Sites, in units of the cell vectors:
Hg 0.0000 0.0000 0.0000
Dy 0.6250 0.6250 0.1250
Dy 0.1250 0.6250 0.6250
Dy 0.6250 0.1250 0.6250
Dy 0.6250 0.6250 0.6250
Hg 0.2500 0.2500 0.2500



It is found that the magnetic moment values, taken in the order of the records, are 0.362; 0.001; 0.003; 0.062 μB per cell.
It is found that the formation energy values, taken in the order of the records, are 1331.8; -126.3; -429.6; 269.9 meV/atom.